Below is a relaxed Sc2OsAu crystal, with properties calculated at the GGA-PBEsol level.

```
data_Sc2OsAu
_chemical_formula_sum 'Sc2 Os1 Au1'
_cell_length_a 3.5960
_cell_length_b 3.5960
_cell_length_c 5.6532
_cell_angle_alpha 90.00
_cell_angle_beta 90.00
_cell_angle_gamma 90.00
_space_group_name_H-M_alt 'P 1'
_space_group_IT_number 1
loop_
_space_group_symop_operation_xyz
'x,y,z'
loop_
_atom_site_label
_atom_site_fract_x
_atom_site_fract_y
_atom_site_fract_z
_atom_site_occupancy
Sc1 0.5000 0.5000 0.2829 1
Sc2 0.0000 0.0000 0.9493 1
Os1 0.5000 0.5000 0.7983 1
Au1 0.0000 0.0000 0.4695 1
```

Values from the calculation:
Spin magnetization ... 0.000 μB per cell
Symmetry ... P4mm, No. 99
E_form ... -0.2619 eV/atom
Calculated volume ... 73.10 Å³/f.u.